DFT (GGA-PBE) results for a relaxed CaScOs2 crystal.

Results
ΔE to the lowest computed polymorph   159.6 meV/atom

abc: 2.9065 2.9065 9.0615
angles: 90.00 90.00 113.22
With the nearest neighbours (Å) after each atom.
Fractional coordinates of all 4 atoms:
Ca1 0.5000 0.5000 0.7500  4 Os 2.89, 6 Ca 2.91-3.20
Os1 0.0000 0.0000 0.0153  2 Sc 2.66, 2 Ca 2.89, 4 Os 2.91
Os2 0.0000 0.0000 0.4847  2 Sc 2.66, 2 Ca 2.89, 4 Os 2.91
Sc1 0.5000 0.5000 0.2500  4 Os 2.66, 4 Sc 2.91

DFT (GGA-PBE) results for a relaxed Sm2YPu crystal.

Results
ΔE to the lowest computed polymorph   103.4 meV/atom

abc: 5.6618 5.6618 5.6618
angles: 60.00 60.00 60.00
With the nearest neighbours (Å) after each atom.
Fractional coordinates of all 4 atoms:
Sm1 0.7500 0.7500 0.7500  4 Pu 3.47, 4 Y 3.47
Sm2 0.2500 0.2500 0.2500  4 Pu 3.47, 4 Y 3.47
Y1 0.5000 0.5000 0.5000  8 Sm 3.47
Pu1 0.0000 0.0000 0.0000  8 Sm 3.47

DFT (GGA-PBE) results for a relaxed Th2FeCo3B12 crystal.

abc: 7.9540 7.9540 7.9540
angles: 40.54 40.54 40.54
With the nearest neighbours (Å) after each atom.
Fractional coordinates of all 18 atoms:
B1 0.3270 0.9451 0.9451  2 B 1.78
B2 0.9451 0.3270 0.9451  2 B 1.78
B3 0.0298 0.3410 0.3410  4 B 1.71-1.78
B4 0.0549 0.0549 0.6730  2 B 1.78
B5 0.3410 0.0298 0.3410  4 B 1.71-1.78
B6 0.6590 0.6590 0.9702  4 B 1.71-1.78
B7 0.6590 0.9702 0.6590  4 B 1.71-1.78
B8 0.3410 0.3410 0.0298  4 B 1.71-1.78
B9 0.9702 0.6590 0.6590  4 B 1.71-1.78
B10 0.9451 0.9451 0.3270  2 B 1.78
B11 0.6730 0.0549 0.0549  2 B 1.78
B12 0.0549 0.6730 0.0549  2 B 1.78
Co1 0.0000 0.5000 0.0000  6 B 2.08-2.10
Co2 0.0000 0.0000 0.5000  6 B 2.08-2.10
Co3 0.5000 0.0000 0.0000  6 B 2.08-2.10
Th1 0.6379 0.6379 0.6379  12 B 2.64-2.94
Th2 0.3621 0.3621 0.3621  12 B 2.64-2.94
Fe1 0.0000 0.0000 0.0000  6 B 2.00

DFT (GGA-PBE) results for a relaxed CaIn7Ag5 crystal.

abc: 5.8625 7.6567 7.6567
angles: 82.54 67.49 67.49
With the nearest neighbours (Å) after each atom.
Fractional coordinates of all 13 atoms:
In1 0.9931 0.3513 0.6625  5 Ag 2.96-3.10, 4 In 3.14-3.29
In2 0.3439 0.6561 0.6561  1 In 3.01, 6 Ag 3.05-3.16
In3 0.2727 0.2273 0.2273  4 Ag 2.93, 6 In 3.06-3.18
In4 0.9931 0.6625 0.3513  5 Ag 2.96-3.10, 4 In 3.14-3.29
In5 0.5076 0.1898 0.7950  5 Ag 2.88-2.97, 1 In 3.06
In6 0.6482 0.3518 0.3518  5 In 3.01-3.36, 4 Ag 3.11
In7 0.5076 0.7950 0.1898  5 Ag 2.88-2.97, 1 In 3.06
Ag1 0.5006 0.4987 0.9969  7 In 2.88-3.11, 3 Ag 2.91-2.95
Ag2 0.0038 0.9969 0.4987  7 In 2.88-3.11, 3 Ag 2.91-2.95
Ag3 0.5006 0.9969 0.4987  7 In 2.88-3.11, 3 Ag 2.91-2.95
Ag4 0.7243 0.7757 0.7757  4 Ag 2.93, 6 In 2.93-3.16
Ag5 0.0038 0.4987 0.9969  7 In 2.88-3.11, 3 Ag 2.91-2.95
Ca1 0.0007 0.9993 0.9993  10 In 3.40-3.70, 2 Ag 3.67

Short version: ΔE_f = 1.1, 0.8, -0.2, -1.6 eV/f.u., in the order given.